# 1
## LaHgO2F (PBE)

Data for a geometry-optimized LaHgO2F structure.

```
5
Lattice="4.6249 0.0000 0.0000 0.0000 4.6249 0.0000 0.0000 0.0000 4.6325" Properties=species:S:1:pos:R:3 pbc="T T T"
La 0.0000 0.0000 0.0000
Hg 2.3125 2.3125 2.3162
O 0.0000 2.3125 0.0000
O 2.3125 0.0000 0.0000
F 0.0000 0.0000 2.3162
```

Summary:
uncorrected formation energy = -1795 meV per atom
crystal system = tetragonal
size of the total moment = 0.11 Bohr magnetons per cell

# 2
## LaHgO2F (PBE)

Data for a geometry-optimized LaHgO2F structure.

```
5
Lattice="4.3718 0.0000 0.0000 0.0000 4.3718 0.0000 0.0000 0.0000 4.4402" Properties=species:S:1:pos:R:3 pbc="T T T"
La 0.0000 0.0000 0.0000
Hg 2.1859 2.1859 2.2201
O 0.0000 2.1859 2.2201
O 2.1859 0.0000 2.2201
F 2.1859 2.1859 0.0000
```

Summary:
uncorrected formation energy = -1464 meV per atom
crystal system = tetragonal
size of the total moment = 0.24 Bohr magnetons per cell

# 3
## LaHgO2F (PBE)

Data for a geometry-optimized LaHgO2F structure.

```
10
Lattice="6.8990 0.0000 0.0000 0.0000 3.7018 0.0000 -1.0303 0.0000 6.8251" Properties=species:S:1:pos:R:3 pbc="T T T"
La 1.2827 0.9254 2.5842
La 4.5860 2.7763 4.2408
Hg 1.3120 2.7763 5.9557
Hg 4.5568 0.9254 0.8693
O 1.7916 2.7763 1.0599
O 2.0171 2.7763 4.0492
O 3.8516 0.9254 2.7759
O 4.0772 0.9254 5.7652
F -0.4609 0.9254 4.4231
F 6.3296 2.7763 2.4020
```

Summary:
uncorrected formation energy = -2400 meV per atom
crystal system = monoclinic
size of the total moment = 0.00 Bohr magnetons per cell

# 4
## LaHg2PtF (PBE)

Data for a geometry-optimized LaHg2PtF structure.

```
5
Lattice="5.2558 0.0000 0.0000 0.0000 5.2558 0.0000 0.0000 0.0000 5.4065" Properties=species:S:1:pos:R:3 pbc="T T T"
La 0.0000 0.0000 0.0000
Hg 0.0000 2.6279 2.7033
Hg 2.6279 0.0000 2.7033
Pt 0.0000 0.0000 2.7033
F 2.6279 2.6279 0.0000
```

Summary:
uncorrected formation energy = -866 meV per atom
crystal system = tetragonal
size of the total moment = 0.00 Bohr magnetons per cell